# Pm2PrSm4

A relaxed Pm2PrSm4 crystal (PBE, Alexandria).

abc: 12.0888 12.0888 12.0888
angles: 162.99 151.83 33.09
Last column: nearest neighbours and their distance in Å.
Atoms (fractional coordinates):
Pm  0.2242  0.2242  0.0000  6 Sm 3.57-3.70, 6 Pm 3.58-3.65
Pm  0.7758  0.7758  0.0000  6 Sm 3.57-3.70, 6 Pm 3.58-3.65
Pr  0.5000  0.5000  0.0000  8 Sm 3.53-3.65, 2 Pr 3.58
Sm  0.0846  0.5846  0.5000  2 Pr 3.53, 7 Sm 3.58-3.92, 2 Pm 3.70
Sm  0.3628  0.8628  0.5000  4 Pm 3.57-3.68, 6 Sm 3.58-3.65, 2 Pr 3.65
Sm  0.6372  0.1372  0.5000  4 Pm 3.57-3.68, 6 Sm 3.58-3.65, 2 Pr 3.65
Sm  0.9154  0.4154  0.5000  2 Pr 3.53, 7 Sm 3.58-3.92, 2 Pm 3.70

Summary:
formation energy from the elements	96	meV/atom
volume	244	Å³ per cell
crystal system	orthorhombic
energy relative to the lowest polymorph listed for this composition	0.0000	eV per atom